1.
## YMn4Pt (GGA-PBE)

Data for a relaxed YMn4Pt crystal.

## Properties
The magnetic moment comes out at 34.0 μB per cell. The value obtained for the formation energy is 0.05 eV per atom. For the final energy, the calculation gives -8.15 eV per atom.

a b c (Å): 7.0754 7.0754 7.0754
angles (deg): 90.00 90.00 90.00
With the nearest neighbours (Å) after each atom.
Space group F-43m (No. 216)
One atom of each set of equivalent atoms:
Y 0.0000 0.0000 0.0000 (multiplicity 4)  12 Mn 2.93, 4 Pt 3.06
Mn 0.1242 0.1242 0.6242 (multiplicity 16)  6 Mn 2.49-2.52
Pt 0.2500 0.2500 0.2500 (multiplicity 4)  12 Mn 2.93, 4 Y 3.06

---

2.
## Zr2Sb (GGA-PBE)

Data for a relaxed Zr2Sb crystal.

## Properties
The formation energy (no corrections) comes out at -0.043 eV/atom. The magnetic moment comes out at 0.0 μB per cell. For the final energy, the calculation gives -7.12 eV per atom.

a b c (Å): 6.8120 6.8120 6.8120
angles (deg): 90.00 90.00 90.00
With the nearest neighbours (Å) after each atom.
Space group Pa-3 (No. 205)
One atom of each set of equivalent atoms:
Zr 0.1317 0.1317 0.1317 (multiplicity 8)  3 Sb 2.81, 1 Zr 3.11
Sb 0.0000 0.0000 0.5000 (multiplicity 4)  6 Zr 2.81

---

Q: Look up the magnetic moment of the first one.
A: 34.0 μB per cell

---

Q: Number 2 is which compound?
A: Zr2Sb

---

Q: Among the records above, which one has the lowest final energy?
A: YMn4Pt